The following is a PBE calculation of a geometry-optimized PmBi2Ru structure, from Alexandria.

Output
The calculation puts the total moment at 0.0 μB per formula unit. As for the offset from the most stable computed form: 181.7 meV per atom.

Cell: 4.787 4.787 4.316 Å, 90.00 90.00 90.00°
Space group P4/mmm (No. 123)
Inequivalent atoms, fractional coordinates:
Pm (0.000, 0.000, 0.000) x1
Bi (0.000, 0.500, 0.500) x2
Ru (0.500, 0.500, 0.000) x1


The following is a PBE calculation of a geometry-optimized PmBiRu2 structure, from Alexandria.

Output
The calculation puts the total moment at 0.0 μB per formula unit. The total energy is -6.815 eV per atom.

Cell: 4.693 4.693 3.581 Å, 90.00 90.00 90.00°
Space group P4/mmm (No. 123)
Inequivalent atoms, fractional coordinates:
Pm (0.000, 0.000, 0.000) x1
Bi (0.500, 0.500, 0.000) x1
Ru (0.000, 0.500, 0.500) x2